*1*
DFT (PBE) results for a relaxed PmPuZr crystal.

Calculated values
Calculated density ... 9.723 g cm⁻³
Crystal system ... tetragonal
Size of the total moment ... 1.868 μB/atom
Space group ... No. 107

Unit cell a=3.356 b=3.356 c=7.660 alpha=102.65 beta=102.65 gamma=90.00
Atoms (fractional coordinates):
Pu 0.011 0.011 0.022
Pm 0.329 0.329 0.659
Zr 0.660 0.660 0.319


*2*
DFT (PBE) results for a relaxed PmPuZr crystal.

Calculated values
Calculated density ... 9.740 g cm⁻³
Crystal system ... trigonal
Size of the total moment ... 1.841 μB/atom
Space group ... No. 156

Unit cell a=3.370 b=3.370 c=8.324 alpha=90.00 beta=90.00 gamma=120.00
Atoms (fractional coordinates):
Pu 0.667 0.333 0.350
Zr 0.333 0.667 0.656
Pm 0.000 0.000 0.994


Least stable: *2*